Density functional theory data (PBE) for a relaxed structure of Sc2TlOs.

a = 3.2367 Å, b = 3.2680 Å, c = 7.6705 Å
α = 90.00°, β = 90.00°, γ = 90.00°
Space group Pmmm (No. 47)
Asymmetric unit:
Sc1 0.0000 0.0000 0.2020
Tl1 0.5000 0.5000 0.5000
Os1 0.5000 0.5000 0.0000

E_form = -1.70 eV/f.u.
Fermi-level density of states = 1.49 states/eV per cell

=====

Density functional theory data (PBE) for a relaxed structure of Sc2TlOs.

a = 3.2373 Å, b = 4.4544 Å, c = 13.5640 Å
α = 90.00°, β = 90.00°, γ = 90.00°
Space group Immm (No. 71)
Asymmetric unit:
Sc1 0.0000 0.0000 0.1789
Tl1 0.0000 0.0000 0.5000
Os1 0.0000 0.0000 0.0000

E_form = 1.76 eV/f.u.
Fermi-level density of states = 6.94 states/eV per cell

=====

Density functional theory data (PBE) for a relaxed structure of ScTlOs.

a = 4.7537 Å, b = 4.7537 Å, c = 19.3285 Å
α = 90.00°, β = 90.00°, γ = 120.00°
Space group R3m (No. 160, hexagonal axes)
Asymmetric unit:
Sc1 0.0000 0.0000 0.0000
Sc2 0.0000 0.0000 0.1707
Tl1 0.0000 0.0000 0.5852
Tl2 0.0000 0.0000 0.7653
Os1 0.0000 0.0000 0.3138
Os2 0.0000 0.0000 0.4362

Offset from the most stable computed form = 40 meV per atom
E_form = 0.16 eV/f.u.
Fermi-level density of states = 13.67 states/eV per cell

=====

Which of these has the highest E_form? number 2

=====

Among the records above, which one has the lowest Fermi-level density of states? number 1

=====

What is the formula in the second record? Sc2TlOs

=====

What did the second record say?
Density functional theory data (PBE) for a relaxed structure of Sc2TlOs.

a = 3.2373 Å, b = 4.4544 Å, c = 13.5640 Å
α = 90.00°, β = 90.00°, γ = 90.00°
Space group Immm (No. 71)
Asymmetric unit:
Sc1 0.0000 0.0000 0.1789
Tl1 0.0000 0.0000 0.5000
Os1 0.0000 0.0000 0.0000

E_form = 1.76 eV/f.u.
Fermi-level density of states = 6.94 states/eV per cell